Record 1
## MnTlSb2 (GGA-PBE)

Data for a relaxed MnTlSb2 crystal.

Calculated values
* E above lowest polymorph: 29.6 kJ per mole of atoms
* crystal system: trigonal

Geometry as CIF:
```
data_MnTlSb2
_symmetry_space_group_name_H-M 'R 3 m'
_symmetry_Int_Tables_number 160
_symmetry_space_group_name_Hall 'R 3 -2"'
_cell_length_a 3.4545
_cell_length_b 3.4545
_cell_length_c 28.7157
_cell_angle_alpha 90.00
_cell_angle_beta 90.00
_cell_angle_gamma 120.00
loop_
_atom_site_label
_atom_site_fract_x
_atom_site_fract_y
_atom_site_fract_z
Mn1 0.0000 0.0000 0.0000
Tl1 0.0000 0.0000 0.2568
Sb1 0.0000 0.0000 0.4936
Sb2 0.0000 0.0000 0.7297
```

***

Record 2
## MnTl4Sb (GGA-PBE)

Data for a relaxed MnTl4Sb crystal.

Calculated values
* crystal system: cubic
* E: -3.2815 eV/atom

Geometry as CIF:
```
data_MnTl4Sb
_symmetry_space_group_name_H-M 'F -4 3 m'
_symmetry_Int_Tables_number 216
_symmetry_space_group_name_Hall 'F -4 2 3'
_cell_length_a 8.982
_cell_length_b 8.982
_cell_length_c 8.982
_cell_angle_alpha 90.00
_cell_angle_beta 90.00
_cell_angle_gamma 90.00
loop_
_atom_site_label
_atom_site_fract_x
_atom_site_fract_y
_atom_site_fract_z
Mn1 0.000 0.000 0.000
Tl1 0.125 0.125 0.375
Sb1 0.250 0.250 0.750
```

***

Record 3
## Mn2TlSb (GGA-PBE)

Data for a relaxed Mn2TlSb crystal.

Calculated values
* E above lowest polymorph: 1.1 kJ per mole of atoms
* crystal system: monoclinic

Geometry as CIF:
```
data_Mn2TlSb
_symmetry_space_group_name_H-M 'P 1 m 1'
_symmetry_Int_Tables_number 6
_symmetry_space_group_name_Hall 'P -2y'
_cell_length_a 3.880
_cell_length_b 4.070
_cell_length_c 5.513
_cell_angle_alpha 90.00
_cell_angle_beta 110.54
_cell_angle_gamma 90.00
loop_
_atom_site_label
_atom_site_fract_x
_atom_site_fract_y
_atom_site_fract_z
Mn1 0.000 0.000 0.000
Mn2 0.186 0.500 0.369
Tl1 0.456 0.500 0.912
Sb1 0.722 0.000 0.442
```

***

Record 4
## Mn2TlSb (GGA-PBE)

Data for a relaxed Mn2TlSb crystal.

Calculated values
* E above lowest polymorph: 25.2 kJ per mole of atoms
* crystal system: tetragonal

Geometry as CIF:
```
data_Mn2TlSb
_symmetry_space_group_name_H-M 'I -4 2 d'
_symmetry_Int_Tables_number 122
_symmetry_space_group_name_Hall 'I -4 2bw'
_cell_length_a 4.594
_cell_length_b 4.594
_cell_length_c 18.008
_cell_angle_alpha 90.00
_cell_angle_beta 90.00
_cell_angle_gamma 90.00
loop_
_atom_site_label
_atom_site_fract_x
_atom_site_fract_y
_atom_site_fract_z
Mn1 0.221 0.250 0.125
Tl1 0.000 0.000 0.500
Sb1 0.000 0.000 0.000
```

***

Record 5
## MnTlSb2 (GGA-PBE)

Data for a relaxed MnTlSb2 crystal.

Calculated values
* E above lowest polymorph: 25.3 kJ per mole of atoms
* crystal system: orthorhombic

Geometry as CIF:
```
data_MnTlSb2
_symmetry_space_group_name_H-M 'C m m 2'
_symmetry_Int_Tables_number 35
_symmetry_space_group_name_Hall 'C 2 -2'
_cell_length_a 4.328
_cell_length_b 4.903
_cell_length_c 9.317
_cell_angle_alpha 90.00
_cell_angle_beta 90.00
_cell_angle_gamma 90.00
loop_
_atom_site_label
_atom_site_fract_x
_atom_site_fract_y
_atom_site_fract_z
Mn1 0.000 0.000 0.000
Tl1 0.000 0.500 0.772
Sb1 0.000 0.000 0.496
Sb2 0.000 0.500 0.183
```

***

Record 6
## Mn2TlSb (GGA-PBE)

Data for a relaxed Mn2TlSb crystal.

Calculated values
* E above lowest polymorph: 7.8 kJ per mole of atoms
* crystal system: orthorhombic

Geometry as CIF:
```
data_Mn2TlSb
_symmetry_space_group_name_H-M 'I m m 2'
_symmetry_Int_Tables_number 44
_symmetry_space_group_name_Hall 'I 2 -2'
_cell_length_a 3.203
_cell_length_b 4.042
_cell_length_c 13.275
_cell_angle_alpha 90.00
_cell_angle_beta 90.00
_cell_angle_gamma 90.00
loop_
_atom_site_label
_atom_site_fract_x
_atom_site_fract_y
_atom_site_fract_z
Mn1 0.000 0.000 0.000
Mn2 0.000 0.500 0.312
Tl1 0.000 0.500 0.688
Sb1 0.000 0.000 0.448
```

***

Record 7
## MnTlSb2 (GGA-PBE)

Data for a relaxed MnTlSb2 crystal.

Calculated values
* E above lowest polymorph: 38.3 kJ per mole of atoms
* crystal system: tetragonal

Geometry as CIF:
```
data_MnTlSb2
_symmetry_space_group_name_H-M 'I -4 2 d'
_symmetry_Int_Tables_number 122
_symmetry_space_group_name_Hall 'I -4 2bw'
_cell_length_a 6.341
_cell_length_b 6.341
_cell_length_c 12.845
_cell_angle_alpha 90.00
_cell_angle_beta 90.00
_cell_angle_gamma 90.00
loop_
_atom_site_label
_atom_site_fract_x
_atom_site_fract_y
_atom_site_fract_z
Mn1 0.000 0.000 0.000
Tl1 0.000 0.000 0.500
Sb1 0.143 0.250 0.125
```

***

Record 8
## Mn2TlSb (GGA-PBE)

Data for a relaxed Mn2TlSb crystal.

Calculated values
* E above lowest polymorph: 22.3 kJ per mole of atoms
* crystal system: monoclinic

Geometry as CIF:
```
data_Mn2TlSb
_symmetry_space_group_name_H-M 'C 1 2/m 1'
_symmetry_Int_Tables_number 12
_symmetry_space_group_name_Hall '-C 2y'
_cell_length_a 9.312
_cell_length_b 3.214
_cell_length_c 6.938
_cell_angle_alpha 90.00
_cell_angle_beta 122.39
_cell_angle_gamma 90.00
loop_
_atom_site_label
_atom_site_fract_x
_atom_site_fract_y
_atom_site_fract_z
Mn1 0.229 0.000 0.390
Tl1 0.000 0.500 0.000
Sb1 0.000 0.000 0.500
```

***

Record 9
## Tm8MnSb2 (GGA-PBE)

Data for a relaxed Tm8MnSb2 crystal.

Calculated values
* crystal system: monoclinic
* E: -5.0985 eV/atom

Geometry as CIF:
```
data_Tm8MnSb2
_symmetry_space_group_name_H-M 'C 1 2/m 1'
_symmetry_Int_Tables_number 12
_symmetry_space_group_name_Hall '-C 2y'
_cell_length_a 17.111
_cell_length_b 5.280
_cell_length_c 6.742
_cell_angle_alpha 90.00
_cell_angle_beta 108.64
_cell_angle_gamma 90.00
loop_
_atom_site_label
_atom_site_fract_x
_atom_site_fract_y
_atom_site_fract_z
Tm1 0.009 0.000 0.237
Tm2 0.094 0.500 0.770
Tm3 0.140 0.500 0.326
Tm4 0.202 0.000 0.114
Mn1 0.000 0.500 0.000
Sb1 0.169 0.000 0.624
```

***

Record 10
## TmMnSb2 (GGA-PBE)

Data for a relaxed TmMnSb2 crystal.

Calculated values
* crystal system: trigonal
* E: -5.8183 eV/atom

Geometry as CIF:
```
data_TmMnSb2
_symmetry_space_group_name_H-M 'R -3 m'
_symmetry_Int_Tables_number 166
_symmetry_space_group_name_Hall '-R 3 2"'
_cell_length_a 4.1959
_cell_length_b 4.1959
_cell_length_c 19.6692
_cell_angle_alpha 90.00
_cell_angle_beta 90.00
_cell_angle_gamma 120.00
loop_
_atom_site_label
_atom_site_fract_x
_atom_site_fract_y
_atom_site_fract_z
Tm1 0.0000 0.0000 0.0000
Mn1 0.0000 0.0000 0.5000
Sb1 0.0000 0.0000 0.2387
```

***

Record 11
## Tm6Mn2Sb (GGA-PBE)

Data for a relaxed Tm6Mn2Sb crystal.

Calculated values
* crystal system: orthorhombic
* E: -5.6960 eV/atom

Geometry as CIF:
```
data_Tm6Mn2Sb
_symmetry_space_group_name_H-M 'I m m m'
_symmetry_Int_Tables_number 71
_symmetry_space_group_name_Hall '-I 2 2'
_cell_length_a 9.483
_cell_length_b 9.536
_cell_length_c 9.827
_cell_angle_alpha 90.00
_cell_angle_beta 90.00
_cell_angle_gamma 90.00
loop_
_atom_site_label
_atom_site_fract_x
_atom_site_fract_y
_atom_site_fract_z
Tm1 0.000 0.203 0.187
Tm2 0.187 0.218 0.500
Tm3 0.220 0.500 0.265
Mn1 0.000 0.000 0.393
Mn2 0.112 0.000 0.000
Sb1 0.000 0.500 0.000
Sb2 0.000 0.500 0.500
```

***

Record 12
## TmMnSb (GGA-PBE)

Data for a relaxed TmMnSb crystal.

Calculated values
* crystal system: tetragonal
* E: -6.4224 eV/atom

Geometry as CIF:
```
data_TmMnSb
_symmetry_space_group_name_H-M 'P 4/n m m'
_symmetry_Int_Tables_number 129
_cell_length_a 4.219
_cell_length_b 4.219
_cell_length_c 7.275
_cell_angle_alpha 90.00
_cell_angle_beta 90.00
_cell_angle_gamma 90.00
loop_
_symmetry_equiv_pos_as_xyz
'x,y,z'
'-x,-y,-z'
'-y+1/2,x,z'
'y+1/2,-x,-z'
'-x+1/2,-y+1/2,z'
'x+1/2,y+1/2,-z'
'y,-x+1/2,z'
'-y,x+1/2,-z'
'x+1/2,-y,-z'
'-x+1/2,y,z'
'-y,-x,-z'
'y,x,z'
'-x,y+1/2,-z'
'x,-y+1/2,z'
'y+1/2,x+1/2,-z'
'-y+1/2,-x+1/2,z'
loop_
_atom_site_label
_atom_site_fract_x
_atom_site_fract_y
_atom_site_fract_z
Tm1 0.250 0.250 0.175
Mn1 0.250 0.750 0.500
Sb1 0.250 0.250 0.746
```

***

Record 13
## UMnSb2 (GGA-PBE)

Data for a relaxed UMnSb2 crystal.

Calculated values
* crystal system: trigonal
* E: -7.1114 eV/atom

Geometry as CIF:
```
data_UMnSb2
_symmetry_space_group_name_H-M 'R -3 m'
_symmetry_Int_Tables_number 166
_symmetry_space_group_name_Hall '-R 3 2"'
_cell_length_a 4.7139
_cell_length_b 4.7139
_cell_length_c 14.6448
_cell_angle_alpha 90.00
_cell_angle_beta 90.00
_cell_angle_gamma 120.00
loop_
_atom_site_label
_atom_site_fract_x
_atom_site_fract_y
_atom_site_fract_z
U1 0.0000 0.0000 0.0000
Mn1 0.0000 0.0000 0.5000
Sb1 0.0000 0.0000 0.2305
```

***

Record 14
## UMnSb (GGA-PBE)

Data for a relaxed UMnSb crystal.

Calculated values
* crystal system: tetragonal
* E: -7.8457 eV/atom

Geometry as CIF:
```
data_UMnSb
_symmetry_space_group_name_H-M 'I 4 m m'
_symmetry_Int_Tables_number 107
_symmetry_space_group_name_Hall 'I 4 -2'
_cell_length_a 4.355
_cell_length_b 4.355
_cell_length_c 7.610
_cell_angle_alpha 90.00
_cell_angle_beta 90.00
_cell_angle_gamma 90.00
loop_
_atom_site_label
_atom_site_fract_x
_atom_site_fract_y
_atom_site_fract_z
U1 0.000 0.000 0.000
Mn1 0.000 0.000 0.734
Sb1 0.000 0.000 0.394
```

***

Record 15
## U2Mn3Sb2 (GGA-PBE)

Data for a relaxed U2Mn3Sb2 crystal.

Calculated values
* crystal system: monoclinic
* E: -8.5088 eV/atom

Geometry as CIF:
```
data_U2Mn3Sb2
_symmetry_space_group_name_H-M 'C 1 2/m 1'
_symmetry_Int_Tables_number 12
_symmetry_space_group_name_Hall '-C 2y'
_cell_length_a 12.351
_cell_length_b 4.527
_cell_length_c 4.783
_cell_angle_alpha 90.00
_cell_angle_beta 99.34
_cell_angle_gamma 90.00
loop_
_atom_site_label
_atom_site_fract_x
_atom_site_fract_y
_atom_site_fract_z
U1 0.151 0.000 0.370
Mn1 0.000 0.000 0.000
Mn2 0.209 0.000 0.803
Sb1 0.099 0.500 0.841
```

***

Record 16
## UMnSb3 (GGA-PBE)

Data for a relaxed UMnSb3 crystal.

Calculated values
* crystal system: orthorhombic
* E: -6.7318 eV/atom

Geometry as CIF:
```
data_UMnSb3
_symmetry_space_group_name_H-M 'P b c m'
_symmetry_Int_Tables_number 57
_symmetry_space_group_name_Hall '-P 2c 2b'
_cell_length_a 12.686
_cell_length_b 6.227
_cell_length_c 6.006
_cell_angle_alpha 90.00
_cell_angle_beta 90.00
_cell_angle_gamma 90.00
loop_
_atom_site_label
_atom_site_fract_x
_atom_site_fract_y
_atom_site_fract_z
U1 0.191 0.008 0.250
Mn1 0.407 0.750 0.000
Sb1 0.002 0.750 0.000
Sb2 0.263 0.513 0.250
Sb3 0.433 0.102 0.250
```

***

Record 17
## U3MnSb5 (GGA-PBE)

Data for a relaxed U3MnSb5 crystal.

Calculated values
* crystal system: hexagonal
* E: -7.3305 eV/atom

Geometry as CIF:
```
data_U3MnSb5
_symmetry_space_group_name_H-M 'P 63/m c m'
_symmetry_Int_Tables_number 193
_symmetry_space_group_name_Hall '-P 6c 2'
_cell_length_a 9.1129
_cell_length_b 9.1129
_cell_length_c 6.1003
_cell_angle_alpha 90.00
_cell_angle_beta 90.00
_cell_angle_gamma 120.00
loop_
_atom_site_label
_atom_site_fract_x
_atom_site_fract_y
_atom_site_fract_z
U1 0.0000 0.3886 0.2500
Mn1 0.0000 0.0000 0.0000
Sb1 0.0000 0.2575 0.7500
Sb2 0.3333 0.6667 0.0000
```

***

Record 18
## UMnSb (GGA-PBE)

Data for a relaxed UMnSb crystal.

Calculated values
* crystal system: triclinic
* E: -8.2194 eV/atom

Geometry as CIF:
```
data_UMnSb
_symmetry_space_group_name_H-M 'P -1'
_symmetry_Int_Tables_number 2
_symmetry_space_group_name_Hall '-P 1'
_cell_length_a 4.541
_cell_length_b 4.554
_cell_length_c 6.153
_cell_angle_alpha 90.07
_cell_angle_beta 90.16
_cell_angle_gamma 90.01
loop_
_atom_site_label
_atom_site_fract_x
_atom_site_fract_y
_atom_site_fract_z
U1 0.000 0.000 0.000
U2 0.500 0.500 0.500
Mn1 0.001 0.500 0.252
Sb1 0.000 0.000 0.500
Sb2 0.500 0.500 0.000
```

***

Record 19
## MnVSb (GGA-PBE)

Data for a relaxed MnVSb crystal.

Calculated values
* crystal system: tetragonal
* E: -6.6845 eV/atom

Geometry as CIF:
```
data_MnVSb
_symmetry_space_group_name_H-M 'I 4 m m'
_symmetry_Int_Tables_number 107
_symmetry_space_group_name_Hall 'I 4 -2'
_cell_length_a 3.105
_cell_length_b 3.105
_cell_length_c 13.439
_cell_angle_alpha 90.00
_cell_angle_beta 90.00
_cell_angle_gamma 90.00
loop_
_atom_site_label
_atom_site_fract_x
_atom_site_fract_y
_atom_site_fract_z
Mn1 0.000 0.000 0.000
V1 0.000 0.000 0.842
Sb1 0.000 0.000 0.210
```

***

Record 20
## MnVSb3 (GGA-PBE)

Data for a relaxed MnVSb3 crystal.

Calculated values
* E above lowest polymorph: 0.0 kJ per mole of atoms
* crystal system: cubic

Geometry as CIF:
```
data_MnVSb3
_symmetry_space_group_name_H-M 'P m -3 m'
_symmetry_Int_Tables_number 221
_symmetry_space_group_name_Hall '-P 4 2 3'
_cell_length_a 5.123
_cell_length_b 5.123
_cell_length_c 5.123
_cell_angle_alpha 90.00
_cell_angle_beta 90.00
_cell_angle_gamma 90.00
loop_
_atom_site_label
_atom_site_fract_x
_atom_site_fract_y
_atom_site_fract_z
Mn1 0.000 0.000 0.000
V1 0.500 0.500 0.500
Sb1 0.000 0.500 0.500
```